First-principles (PBE) data for an optimized crystal structure of CdTe2CN, as listed in Alexandria.

Cell: 5.685 5.685 4.113 Å, 90.00 90.00 90.00°
Last column: magnetic moment on the atom in μB.
Atoms (fractional coordinates):
Te: 0.500 0.000 0.000  -0.20
Te: 0.000 0.500 0.000  -0.20
Cd: 0.000 0.000 0.000  0.03
N: 0.000 0.000 0.500  1.08
C: 0.500 0.500 0.500  0.69

Summary:
formation energy (no corrections)	2.363	eV/atom
M_tot	2.28	Bohr magnetons per cell
symmetry	No. 123
calculated total energy	-2.59	eV per atom